(1)
# LaTc2P

A crystal of LaTc2P relaxed with PBEsol (SCAN, the Alexandria database).

a b c (Å): 5.832 5.832 5.832
angles (deg): 41.39 41.39 41.39
Positions (direct):
La  0.000  0.000  0.000
Tc  0.501  0.501  0.501
Tc  0.805  0.805  0.805
P  0.213  0.213  0.213

DOS at the Fermi energy	1.6	states/eV/cell
final energy	-31.5282	eV/atom

---

(2)
# KRb3

A crystal of KRb3 relaxed with PBEsol (SCAN, the Alexandria database).

a b c (Å): 8.439 8.439 8.439
angles (deg): 131.82 131.82 70.51
Positions (direct):
K  0.000  0.000  0.000
Rb  0.250  0.750  0.500
Rb  0.500  0.500  0.000
Rb  0.750  0.250  0.500

DOS at the Fermi energy	3.1	states/eV/cell
final energy	-17.6349	eV/atom

---

Number 2 is which compound? KRb3

---

What did the second record say?
# KRb3

A crystal of KRb3 relaxed with PBEsol (SCAN, the Alexandria database).

a b c (Å): 8.439 8.439 8.439
angles (deg): 131.82 131.82 70.51
Positions (direct):
K  0.000  0.000  0.000
Rb  0.250  0.750  0.500
Rb  0.500  0.500  0.000
Rb  0.750  0.250  0.500

DOS at the Fermi energy	3.1	states/eV/cell
final energy	-17.6349	eV/atom

---

DOS at the Fermi energy of number 1 (LaTc2P)? 1.6 states/eV/cell